[1]
# YHoNi2

Crystalline YHoNi2 at its relaxed geometry (GGA-PBE, the Open Quantum Materials Database).

Results
SG: No. 31
Energy of formation from the pure elements: -1.839 eV/f.u.

Cell: 4.1533 7.0325 5.4140 Å, 90.00 90.00 90.00°
Atoms (fractional coordinates):
Y (0.0000, 0.0708, 0.0000)
Y (0.5000, 0.9292, 0.5000)
Ho (0.0000, 0.5689, 0.2360)
Ho (0.5000, 0.4311, 0.7360)
Ni (0.0000, 0.2170, 0.4941)
Ni (0.0000, 0.7091, 0.7442)
Ni (0.5000, 0.2909, 0.2442)
Ni (0.5000, 0.7830, 0.9941)

[2]
# Er3ScC2S2

Crystalline Er3ScC2S2 at its relaxed geometry (GGA-PBE, the Open Quantum Materials Database).

Results
SG: No. 156
Raw total energy: -7.122 eV/atom

Cell: 3.6138 3.6138 12.5559 Å, 90.00 90.00 120.00°
Atoms (fractional coordinates):
Er (0.0000, 0.0000, 0.0000)
Er (0.0000, 0.0000, 0.2986)
Er (0.3333, 0.6667, 0.7878)
Sc (0.3333, 0.6667, 0.5001)
C (0.6667, 0.3333, 0.4033)
C (0.6667, 0.3333, 0.8938)
S (0.0000, 0.0000, 0.6370)
S (0.3333, 0.6667, 0.1491)

[3]
# SrTmPa

Crystalline SrTmPa at its relaxed geometry (GGA-PBE, the Open Quantum Materials Database).

Results
SG: No. 216
ΔE to the lowest computed polymorph: 0.00 eV per formula unit

Cell: 5.5044 5.5044 5.5044 Å, 60.00 60.00 60.00°
Atoms (fractional coordinates):
Sr (0.0000, 0.0000, 0.0000)
Tm (0.7500, 0.7500, 0.7500)
Pa (0.5000, 0.5000, 0.5000)

[4]
# PrFeIr

Crystalline PrFeIr at its relaxed geometry (GGA-PBE, the Open Quantum Materials Database).

Results
SG: No. 216
Energy of formation from the pure elements: 0.537 eV/f.u.

Cell: 4.6109 4.6109 4.6109 Å, 60.00 60.00 60.00°
Atoms (fractional coordinates):
Pr (0.0000, 0.0000, 0.0000)
Fe (0.5000, 0.5000, 0.5000)
Ir (0.2500, 0.2500, 0.2500)

[5]
# NaZrAgSe2S

Crystalline NaZrAgSe2S at its relaxed geometry (GGA-PBE, the Open Quantum Materials Database).

Results
SG: No. 63
Raw total energy: -4.947 eV/atom

Cell: 7.1112 7.1112 10.2433 Å, 90.00 90.00 148.06°
Atoms (fractional coordinates):
Na (0.2401, 0.7599, 0.7500)
Na (0.7599, 0.2401, 0.2500)
Zr (0.5000, 0.5000, 0.0000)
Zr (0.5000, 0.5000, 0.5000)
Ag (0.0453, 0.9547, 0.2500)
Ag (0.9547, 0.0453, 0.7500)
Se (0.1390, 0.8610, 0.0339)
Se (0.1390, 0.8610, 0.4661)
Se (0.8610, 0.1390, 0.5339)
Se (0.8610, 0.1390, 0.9661)
S (0.4278, 0.5722, 0.2500)
S (0.5722, 0.4278, 0.7500)

[6]
# PrThFe

Crystalline PrThFe at its relaxed geometry (GGA-PBE, the Open Quantum Materials Database).

Results
SG: No. 216
Energy of formation from the pure elements: 0.705 eV/f.u.
ΔE to the lowest computed polymorph: 0.00 eV per formula unit

Cell: 4.8176 4.8176 4.8176 Å, 60.00 60.00 60.00°
Atoms (fractional coordinates):
Pr (0.0000, 0.0000, 0.0000)
Th (0.5000, 0.5000, 0.5000)
Fe (0.2500, 0.2500, 0.2500)

[7]
# SrHgNO

Crystalline SrHgNO at its relaxed geometry (GGA-PBE, the Open Quantum Materials Database).

Results
SG: No. 29
ΔE to the lowest computed polymorph: 0.07 eV per formula unit

Cell: 6.6433 7.5004 6.1910 Å, 90.00 90.00 90.00°
Atoms (fractional coordinates):
Sr (0.0747, 0.1492, 0.0000)
Sr (0.4253, 0.1492, 0.5000)
Sr (0.5747, 0.8508, 0.0000)
Sr (0.9253, 0.8508, 0.5000)
Hg (0.0815, 0.6110, 0.0308)
Hg (0.4185, 0.6110, 0.5308)
Hg (0.5815, 0.3890, 0.0308)
Hg (0.9185, 0.3890, 0.5308)
N (0.1164, 0.5929, 0.6821)
N (0.3836, 0.5929, 0.1821)
N (0.6164, 0.4071, 0.6821)
N (0.8836, 0.4071, 0.1821)
O (0.0831, 0.1205, 0.6121)
O (0.4169, 0.1205, 0.1121)
O (0.5831, 0.8795, 0.6121)
O (0.9169, 0.8795, 0.1121)

[8]
# PrScPa3

Crystalline PrScPa3 at its relaxed geometry (GGA-PBE, the Open Quantum Materials Database).

Results
SG: No. 65
Energy of formation from the pure elements: 1.566 eV/f.u.

Cell: 16.8042 16.8042 3.1706 Å, 90.00 90.00 162.11°
Atoms (fractional coordinates):
Pr (0.1307, 0.8693, 0.0000)
Pr (0.8693, 0.1307, 0.0000)
Sc (0.3184, 0.6816, 0.5000)
Sc (0.6816, 0.3184, 0.5000)
Pa (0.0425, 0.9575, 0.5000)
Pa (0.2303, 0.7697, 0.0000)
Pa (0.4468, 0.5532, 0.0000)
Pa (0.5532, 0.4468, 0.0000)
Pa (0.7697, 0.2303, 0.0000)
Pa (0.9575, 0.0425, 0.5000)

Volume readings, ordered: 158; 142; 118; 69; 274; 79; 308; 275 Å³/cell